[1]
VASP calculation (PBE) on a geometry-optimized CaPW2 structure.

```
CaPW2
1.0
4.1560 -1.6246 0.0000
4.1560 1.6246 0.0000
-1.3213 0.0000 6.0534
Ca P W
1 1 2
direct
0.0000 0.0000 0.0000
0.2630 0.2630 0.6828
0.5273 0.5273 0.5310
0.7866 0.7866 0.3724
```

Summary:
* calculated volume: 82 Å³/cell
* energy of formation from the pure elements: 0.21 eV per atom
* spin magnetization: 0.0000 μB/atom
* space-group type: Cm (8)

=====

[2]
VASP calculation (PBE) on a geometry-optimized PrMgGa structure.

```
PrMgGa
1.0
-1.7400 1.7400 6.1311
1.7400 -1.7400 6.1311
1.7400 1.7400 -6.1311
Pr Mg Ga
1 1 1
direct
0.0000 0.0000 0.0000
0.2932 0.2932 0.0000
0.6666 0.6666 0.0000
```

Summary:
* calculated volume: 74 Å³/cell
* energy of formation from the pure elements: -0.29 eV per atom
* spin magnetization: 0.0000 μB/atom
* space-group type: I4mm (107)

=====

[3]
VASP calculation (PBE) on a geometry-optimized LiTlRe2 structure.

```
LiTlRe2
1.0
2.6838 0.0000 0.0000
0.0000 2.6838 0.0000
0.0000 0.0000 9.5945
Li Tl Re
1 1 2
direct
0.0000 0.0000 0.0000
0.0000 0.0000 0.5000
0.5000 0.5000 0.2266
0.5000 0.5000 0.7734
```

Summary:
* calculated volume: 69 Å³/cell
* energy of formation from the pure elements: 1.09 eV per atom
* spin magnetization: 0.0002 μB/atom
* space-group type: P4/mmm (123)

=====

[4]
VASP calculation (PBE) on a geometry-optimized TlTeIr2 structure.

```
TlTeIr2
1.0
-1.5596 2.2135 5.8350
1.5596 -2.2135 5.8350
1.5596 2.2135 -5.8350
Tl Te Ir
1 1 2
direct
0.0000 0.0000 0.0000
0.2615 0.7615 0.5000
0.4536 0.4536 0.0000
0.6630 0.1630 0.5000
```

Summary:
* calculated volume: 81 Å³/cell
* spin magnetization: 0.0000 μB/atom
* space-group type: Imm2 (44)
* E_form (uncorrected): 1.999 eV/f.u.

=====

[5]
VASP calculation (PBE) on a geometry-optimized ZrMo2Pb structure.

```
ZrMo2Pb
1.0
3.5562 0.0000 0.0000
0.0000 3.5562 0.0000
0.0000 0.0000 6.1219
Zr Mo Pb
1 2 1
direct
0.0000 0.0000 0.0000
0.5000 0.5000 0.2317
0.5000 0.5000 0.7683
0.0000 0.0000 0.5000
```

Summary:
* calculated volume: 77 Å³/cell
* energy of formation from the pure elements: 0.35 eV per atom
* spin magnetization: 0.0000 μB/atom
* space-group type: P4/mmm (123)

=====

[6]
VASP calculation (PBE) on a geometry-optimized Li12Mg3Au structure.

```
Li12Mg3Au
1.0
4.1717 0.0000 0.0000
0.0000 4.1717 0.0000
0.0000 0.0000 17.3991
Li Mg Au
12 3 1
direct
0.0000 0.0000 0.0000
0.0000 0.0000 0.2372
0.0000 0.0000 0.5000
0.0000 0.0000 0.7628
0.0000 0.5000 0.1065
0.0000 0.5000 0.3688
0.0000 0.5000 0.6312
0.0000 0.5000 0.8935
0.5000 0.0000 0.1065
0.5000 0.0000 0.3688
0.5000 0.0000 0.6312
0.5000 0.0000 0.8935
0.5000 0.5000 0.2380
0.5000 0.5000 0.5000
0.5000 0.5000 0.7620
0.5000 0.5000 0.0000
```

Summary:
* calculated volume: 303 Å³/cell
* energy of formation from the pure elements: -0.11 eV per atom
* spin magnetization: 0.0000 μB/atom
* space-group type: P4/mmm (123)